1.
## SmMg2GeRh2 (PBE)

Data for an optimized crystal structure of SmMg2GeRh2.

Output
* theoretical density: 6155 kg/m3
* symmetry: P4/mmm, No. 123
* magnetic moment: 0.075 μB/atom
* energy of formation from the pure elements: -198 kJ/mol of formula units

Unit cell a=4.657 b=4.657 c=5.940 alpha=90.00 beta=90.00 gamma=90.00
Each line ends with the local moment (μB).
Sites, in units of the cell vectors:
Rh 0.000 0.500 0.000  0.17
Rh 0.500 0.000 0.000  0.17
Sm 0.000 0.000 0.500  0.03
Mg 0.500 0.500 0.249  0.00
Mg 0.500 0.500 0.751  0.00
Ge 0.000 0.000 0.000  0.01



2.
## Ir3IF (PBE)

Data for an optimized crystal structure of Ir3IF.

Output
* theoretical density: 13903 kg/m3
* symmetry: Pm-3m, No. 221
* magnetic moment: 0.332 μB/atom
* raw formation energy: 1646 meV per atom

Unit cell a=4.419 b=4.419 c=4.419 alpha=90.00 beta=90.00 gamma=90.00
Each line ends with the local moment (μB).
Sites, in units of the cell vectors:
F 0.000 0.000 0.000  0.05
I 0.500 0.500 0.500  0.06
Ir 0.000 0.000 0.500  0.42
Ir 0.500 0.000 0.000  0.53
Ir 0.000 0.500 0.000  0.60



3.
## Tb4DyTm7 (PBE)

Data for an optimized crystal structure of Tb4DyTm7.

Output
* theoretical density: 8852 kg/m3
* symmetry: P-1, No. 2
* magnetic moment: 0.000 μB/atom
* energy of formation from the pure elements: 105 kJ/mol of formula units

Unit cell a=6.722 b=6.451 c=11.630 alpha=74.79 beta=49.80 gamma=81.31
Sites, in units of the cell vectors:
Tm 0.941 0.683 0.357
Tm 0.278 0.812 0.614
Tm 0.199 0.485 0.050
Tm 0.500 0.000 0.000
Tm 0.801 0.515 0.950
Tm 0.059 0.317 0.643
Tm 0.722 0.188 0.386
Tb 0.521 0.638 0.287
Tb 0.308 0.163 0.309
Tb 0.692 0.837 0.691
Tb 0.479 0.362 0.713
Dy 0.000 0.000 0.000



4.
## Dy3Zn3Ni2 (PBE)

Data for an optimized crystal structure of Dy3Zn3Ni2.

Output
* theoretical density: 8572 kg/m3
* symmetry: Pnma, No. 62
* magnetic moment: 0.000 μB/atom
* energy of formation from the pure elements: -312 kJ/mol of formula units

Unit cell a=5.378 b=7.377 c=15.644 alpha=90.00 beta=90.00 gamma=90.00
Sites, in units of the cell vectors:
Dy 0.382 0.962 0.393
Dy 0.618 0.038 0.893
Dy 0.618 0.038 0.607
Dy 0.862 0.834 0.250
Dy 0.118 0.462 0.107
Dy 0.118 0.462 0.393
Dy 0.362 0.666 0.750
Dy 0.138 0.166 0.750
Dy 0.638 0.334 0.250
Dy 0.882 0.538 0.607
Dy 0.882 0.538 0.893
Dy 0.382 0.962 0.107
Zn 0.603 0.325 0.033
Zn 0.603 0.325 0.467
Zn 0.103 0.175 0.533
Zn 0.631 0.325 0.750
Zn 0.897 0.825 0.467
Zn 0.869 0.825 0.750
Zn 0.103 0.175 0.967
Zn 0.131 0.175 0.250
Zn 0.397 0.675 0.967
Zn 0.369 0.675 0.250
Zn 0.897 0.825 0.033
Zn 0.397 0.675 0.533
Ni 0.379 0.383 0.886
Ni 0.621 0.617 0.114
Ni 0.121 0.883 0.886
Ni 0.621 0.617 0.386
Ni 0.879 0.117 0.386
Ni 0.121 0.883 0.614
Ni 0.379 0.383 0.614
Ni 0.879 0.117 0.114



5.
## LiP2SCl (PBE)

Data for an optimized crystal structure of LiP2SCl.

Output
* energy above the lowest structure with this stoichiometry: 0.472 eV per atom
* theoretical density: 2558 kg/m3
* symmetry: P4/mmm, No. 123
* magnetic moment: 0.000 μB/atom
* raw formation energy: 753 meV per atom

Unit cell a=4.616 b=4.616 c=4.155 alpha=90.00 beta=90.00 gamma=90.00
Sites, in units of the cell vectors:
Cl 0.000 0.000 0.500
P 0.000 0.500 0.000
P 0.500 0.000 0.000
Li 0.000 0.000 0.000
S 0.500 0.500 0.500



6.
## HgBiI3 (PBE)

Data for an optimized crystal structure of HgBiI3.

Output
* energy above the lowest structure with this stoichiometry: 0.124 eV per atom
* theoretical density: 5586 kg/m3
* symmetry: Pm-3m, No. 221
* magnetic moment: 0.000 μB/atom
* raw formation energy: -201 meV per atom

Unit cell a=6.170 b=6.170 c=6.170 alpha=90.00 beta=90.00 gamma=90.00
Sites, in units of the cell vectors:
Hg 0.500 0.500 0.500
Bi 0.000 0.000 0.000
I 0.500 0.000 0.000
I 0.000 0.500 0.000
I 0.000 0.000 0.500



7.
## Pr2SmDyHo6 (PBE)

Data for an optimized crystal structure of Pr2SmDyHo6.

Output
* theoretical density: 8050 kg/m3
* symmetry: C2/c, No. 15
* magnetic moment: 0.000 μB/atom
* energy of formation from the pure elements: 114 kJ/mol of formula units

Unit cell a=9.747 b=8.772 c=8.772 alpha=118.01 beta=94.73 gamma=94.73
Sites, in units of the cell vectors:
Sm 0.250 0.983 0.017
Sm 0.750 0.017 0.983
Ho 0.187 0.575 0.022
Ho 0.557 0.740 0.123
Ho 0.687 0.022 0.575
Ho 0.619 0.493 0.705
Ho 0.443 0.260 0.877
Ho 0.119 0.705 0.493
Ho 0.881 0.295 0.507
Ho 0.313 0.978 0.425
Ho 0.381 0.507 0.295
Ho 0.813 0.425 0.978
Ho 0.057 0.123 0.740
Ho 0.943 0.877 0.260
Pr 0.958 0.706 0.807
Pr 0.542 0.193 0.294
Pr 0.458 0.807 0.706
Pr 0.042 0.294 0.193
Dy 0.750 0.593 0.407
Dy 0.250 0.407 0.593



8.
## Ti3Ga4Cu2 (PBE)

Data for an optimized crystal structure of Ti3Ga4Cu2.

Output
* theoretical density: 6736 kg/m3
* symmetry: C2/m, No. 12
* magnetic moment: 0.000 μB/atom
* energy of formation from the pure elements: -318 kJ/mol of formula units

Unit cell a=4.218 b=5.142 c=7.868 alpha=116.66 beta=90.00 gamma=114.22
Sites, in units of the cell vectors:
Ti 0.663 0.327 0.670
Ti 0.337 0.673 0.330
Ti 0.000 0.000 0.000
Ga 0.710 0.420 0.052
Ga 0.069 0.137 0.396
Ga 0.931 0.863 0.604
Ga 0.290 0.580 0.948
Cu 0.611 0.222 0.280
Cu 0.389 0.778 0.720



9.
## HoEr2Hg2 (PBE)

Data for an optimized crystal structure of HoEr2Hg2.

Output
* energy above the lowest structure with this stoichiometry: 0.003 eV per atom
* theoretical density: 11143 kg/m3
* symmetry: P4/mbm, No. 127
* magnetic moment: 0.001 μB/atom
* energy of formation from the pure elements: -185 kJ/mol of formula units

Unit cell a=3.799 b=8.405 c=8.405 alpha=90.00 beta=90.00 gamma=90.00
Sites, in units of the cell vectors:
Er 0.500 0.334 0.166
Er 0.500 0.166 0.666
Er 0.500 0.834 0.334
Er 0.500 0.666 0.834
Hg 0.000 0.633 0.133
Hg 0.000 0.367 0.867
Hg 0.000 0.867 0.633
Hg 0.000 0.133 0.367
Ho 0.000 0.000 0.000
Ho 0.000 0.500 0.500



10.
## Zr2HgBr (PBE)

Data for an optimized crystal structure of Zr2HgBr.

Output
* energy above the lowest structure with this stoichiometry: 0.834 eV per atom
* theoretical density: 8017 kg/m3
* symmetry: F-43m, No. 216
* magnetic moment: 0.865 μB/atom
* raw formation energy: 445 meV per atom

Unit cell a=5.138 b=5.138 c=5.138 alpha=60.00 beta=60.00 gamma=60.00
Each line ends with the local moment (μB).
Sites, in units of the cell vectors:
Hg 0.750 0.750 0.750  0.04
Zr 0.250 0.250 0.250  1.09
Zr 0.000 0.000 0.000  1.06
Br 0.500 0.500 0.500  0.04



11.
## TiTl2NiSe (PBE)

Data for an optimized crystal structure of TiTl2NiSe.

Output
* theoretical density: 6842 kg/m3
* symmetry: P4/mmm, No. 123
* magnetic moment: 0.021 μB/atom
* raw formation energy: 606 meV per atom

Unit cell a=5.525 b=4.725 c=5.525 alpha=90.00 beta=90.00 gamma=90.00
Each line ends with the local moment (μB).
Sites, in units of the cell vectors:
Se 0.000 0.500 0.000  0.01
Ti 0.000 0.000 0.000  -0.07
Tl 0.000 0.000 0.500  0.00
Tl 0.500 0.000 0.000  0.00
Ni 0.500 0.500 0.500  -0.06



12.
## CaLaTlFe2 (PBE)

Data for an optimized crystal structure of CaLaTlFe2.

Output
* theoretical density: 5913 kg/m3
* symmetry: P4/mmm, No. 123
* magnetic moment: 0.963 μB/atom
* energy of formation from the pure elements: 656 kJ/mol of formula units

Unit cell a=4.906 b=5.777 c=4.906 alpha=90.00 beta=90.00 gamma=90.00
Each line ends with the local moment (μB).
Sites, in units of the cell vectors:
La 0.000 0.500 0.000  -0.23
Tl 0.500 0.500 0.500  -0.04
Ca 0.000 0.000 0.000  -0.21
Fe 0.500 0.000 0.000  2.79
Fe 0.000 0.000 0.500  2.75



13.
## CaNpPt (PBE)

Data for an optimized crystal structure of CaNpPt.

Output
* theoretical density: 10748 kg/m3
* symmetry: P4/nmm, No. 129
* magnetic moment: 1.424 μB/atom
* energy of formation from the pure elements: -113 kJ/mol of formula units

Unit cell a=4.171 b=4.171 c=8.384 alpha=90.00 beta=90.00 gamma=90.00
Each line ends with the local moment (μB).
Sites, in units of the cell vectors:
Ca 0.500 0.000 0.134  0.03
Ca 0.000 0.500 0.866  0.03
Pt 0.000 0.500 0.242  0.06
Pt 0.500 0.000 0.758  0.06
Np 0.500 0.500 0.500  3.91
Np 0.000 0.000 0.500  3.91



14.
## MgSiRu2 (PBE)

Data for an optimized crystal structure of MgSiRu2.

Output
* theoretical density: 7491 kg/m3
* symmetry: I-4m2, No. 119
* magnetic moment: 0.000 μB/atom
* raw formation energy: -50 meV per atom

Unit cell a=4.925 b=4.925 c=4.925 alpha=136.22 beta=136.22 gamma=63.63
Sites, in units of the cell vectors:
Si 0.500 0.500 0.000
Ru 0.000 0.000 0.000
Ru 0.250 0.750 0.500
Mg 0.750 0.250 0.500



15.
## Rb6Pb5Cl16 (PBE)

Data for an optimized crystal structure of Rb6Pb5Cl16.

Output
* theoretical density: 4144 kg/m3
* symmetry: C2/m, No. 12
* magnetic moment: 0.000 μB/atom
* raw formation energy: -1515 meV per atom

Unit cell a=11.503 b=12.147 c=12.147 alpha=89.91 beta=91.73 gamma=91.73
Sites, in units of the cell vectors:
Cl 0.779 0.080 0.297
Cl 0.489 0.807 0.588
Cl 0.197 0.062 0.309
Cl 0.207 0.432 0.807
Cl 0.299 0.513 0.513
Cl 0.485 0.297 0.914
Cl 0.779 0.297 0.080
Cl 0.285 0.013 0.013
Cl 0.221 0.703 0.920
Cl 0.223 0.196 0.596
Cl 0.978 0.351 0.351
Cl 0.701 0.487 0.487
Cl 0.511 0.412 0.193
Cl 0.793 0.193 0.568
Cl 0.000 0.848 0.152
Cl 0.515 0.703 0.086
Cl 0.000 0.152 0.848
Cl 0.223 0.596 0.196
Cl 0.197 0.309 0.062
Cl 0.777 0.404 0.804
Cl 0.803 0.938 0.691
Cl 0.207 0.807 0.432
Cl 0.022 0.649 0.649
Cl 0.221 0.920 0.703
Cl 0.485 0.914 0.297
Cl 0.511 0.193 0.412
Cl 0.715 0.987 0.987
Cl 0.489 0.588 0.807
Cl 0.515 0.086 0.703
Cl 0.793 0.568 0.193
Cl 0.777 0.804 0.404
Cl 0.803 0.691 0.938
Pb 0.346 0.530 0.008
Pb 0.654 0.992 0.470
Pb 0.248 0.863 0.209
Pb 0.736 0.329 0.329
Pb 0.264 0.671 0.671
Pb 0.752 0.137 0.791
Pb 0.346 0.008 0.530
Pb 0.248 0.209 0.863
Pb 0.654 0.470 0.992
Pb 0.752 0.791 0.137
Rb 0.500 0.641 0.359
Rb 0.267 0.328 0.328
Rb 0.473 0.865 0.865
Rb 0.000 0.375 0.625
Rb 0.733 0.672 0.672
Rb 0.000 0.000 0.500
Rb 0.000 0.625 0.375
Rb 0.527 0.135 0.135
Rb 0.500 0.359 0.641
Rb 0.000 0.500 0.000
Rb 0.012 0.873 0.873
Rb 0.988 0.127 0.127



16.
## PaHgHO4 (PBE)

Data for an optimized crystal structure of PaHgHO4.

Output
* theoretical density: 5760 kg/m3
* symmetry: Imma, No. 74
* magnetic moment: 0.000 μB/atom
* final energy: -6.628 eV per atom

Unit cell a=8.151 b=7.280 c=7.280 alpha=60.51 beta=55.95 gamma=55.95
Sites, in units of the cell vectors:
Pa 0.000 0.000 0.000
Pa 0.000 0.500 0.500
O 0.198 0.717 0.886
O 0.879 0.201 0.701
O 0.198 0.386 0.217
O 0.802 0.614 0.783
O 0.781 0.799 0.299
O 0.219 0.201 0.701
O 0.121 0.799 0.299
O 0.802 0.283 0.114
H 0.785 0.465 0.965
H 0.215 0.535 0.035
Hg 0.500 0.000 0.500
Hg 0.000 0.000 0.500



17.
## Ba2HfNi (PBE)

Data for an optimized crystal structure of Ba2HfNi.

Output
* energy above the lowest structure with this stoichiometry: 0.000 eV per atom
* theoretical density: 5014 kg/m3
* symmetry: I-42d, No. 122
* magnetic moment: 0.000 μB/atom
* energy of formation from the pure elements: 192 kJ/mol of formula units

Unit cell a=11.925 b=11.925 c=8.763 alpha=47.12 beta=47.12 gamma=90.00
Sites, in units of the cell vectors:
Ba 0.290 0.625 0.250
Ba 0.460 0.125 0.250
Ba 0.375 0.540 0.750
Ba 0.875 0.710 0.750
Hf 0.000 0.000 0.000
Hf 0.750 0.250 0.500
Ni 0.250 0.750 0.500
Ni 0.500 0.500 0.000



18.
## ZnHgPd2 (PBE)

Data for an optimized crystal structure of ZnHgPd2.

Output
* theoretical density: 11129 kg/m3
* symmetry: I-42d, No. 122
* magnetic moment: 0.000 μB/atom
* energy of formation from the pure elements: -28 kJ/mol of formula units

Unit cell a=7.153 b=7.153 c=5.778 alpha=51.76 beta=51.76 gamma=90.00
Sites, in units of the cell vectors:
Pd 0.597 0.125 0.250
Pd 0.153 0.625 0.250
Pd 0.875 0.847 0.750
Pd 0.375 0.403 0.750
Hg 0.000 0.000 0.000
Hg 0.750 0.250 0.500
Zn 0.500 0.500 0.000
Zn 0.250 0.750 0.500



19.
## SrLa2Pb (PBE)

Data for an optimized crystal structure of SrLa2Pb.

Output
* theoretical density: 5230 kg/m3
* symmetry: R3m, No. 160
* magnetic moment: 0.494 μB/atom
* energy of formation from the pure elements: -33 kJ/mol of formula units

Unit cell a=4.558 b=4.558 c=10.440 alpha=77.39 beta=77.39 gamma=60.00
Each line ends with the local moment (μB).
Sites, in units of the cell vectors:
La 0.060 0.060 0.819  0.22
La 0.273 0.273 0.182  0.19
Pb 0.666 0.666 0.003  -0.02
Sr 0.501 0.501 0.497  0.11



20.
## YZnCu (PBE)

Data for an optimized crystal structure of YZnCu.

Output
* theoretical density: 6153 kg/m3
* symmetry: P-6m2, No. 187
* magnetic moment: 0.000 μB/atom
* energy of formation from the pure elements: -94 kJ/mol of formula units

Unit cell a=4.335 b=4.335 c=3.612 alpha=90.00 beta=90.00 gamma=120.00
Sites, in units of the cell vectors:
Cu 0.000 0.000 0.833
Y 0.333 0.667 0.333
Zn 0.667 0.333 0.833



21.
## La3Tb8 (PBE)

Data for an optimized crystal structure of La3Tb8.

Output
* energy above the lowest structure with this stoichiometry: 0.475 eV per atom
* theoretical density: 7724 kg/m3
* symmetry: R-3, No. 148
* magnetic moment: 0.000 μB/atom
* energy of formation from the pure elements: 536 kJ/mol of formula units

Unit cell a=7.141 b=7.141 c=7.141 alpha=87.18 beta=87.18 gamma=87.18
Sites, in units of the cell vectors:
Tb 0.139 0.893 0.304
Tb 0.893 0.304 0.139
Tb 0.107 0.696 0.861
Tb 0.861 0.107 0.696
Tb 0.696 0.861 0.107
Tb 0.623 0.623 0.623
Tb 0.304 0.139 0.893
Tb 0.377 0.377 0.377
La 0.000 0.500 0.500
La 0.500 0.000 0.500
La 0.500 0.500 0.000



22.
## Cr5Ge (PBE)

Data for an optimized crystal structure of Cr5Ge.

Output
* theoretical density: 7525 kg/m3
* symmetry: Cmmm, No. 65
* magnetic moment: 0.348 μB/atom
* energy of formation from the pure elements: 5 kJ/mol of formula units

Unit cell a=2.967 b=4.057 c=6.428 alpha=108.39 beta=90.00 gamma=90.00
Each line ends with the local moment (μB).
Sites, in units of the cell vectors:
Cr 0.000 0.665 0.330  -1.11
Cr 0.500 0.172 0.343  1.41
Cr 0.500 0.828 0.657  1.41
Cr 0.000 0.335 0.670  -1.11
Cr 0.500 0.500 0.000  1.38
Ge 0.000 0.000 0.000  -0.02